No. 1
Below is a relaxed structure of RbMgNbPt, with properties calculated at the PBE level.

Lattice parameters (Å, degrees): 5.058 5.058 5.058 60.00 60.00 60.00
Fractional positions:
Mg1 0.750 0.750 0.750
Pt1 0.250 0.250 0.250
Nb1 0.000 0.000 0.000
Rb1 0.500 0.500 0.500

Properties
Crystal system: cubic
Total moment, Bohr magnetons per cell: 1.6
Space group: F-43m, No. 216
Energy above the most stable polymorph in this dataset, meV/atom: 267



No. 2
Below is a relaxed structure of RbMgNbPt, with properties calculated at the PBE level.

Lattice parameters (Å, degrees): 4.849 4.849 4.849 60.00 60.00 60.00
Fractional positions:
Pt1 0.000 0.000 0.000
Nb1 0.250 0.250 0.250
Mg1 0.750 0.750 0.750
Rb1 0.500 0.500 0.500

Properties
Crystal system: cubic
Total moment, Bohr magnetons per cell: 0.0
Space group: F-43m, No. 216
Energy above the most stable polymorph in this dataset, meV/atom: 0



No. 3
Below is a relaxed structure of RbMgNbPt, with properties calculated at the PBE level.

Lattice parameters (Å, degrees): 5.069 5.069 5.069 60.00 60.00 60.00
Fractional positions:
Rb1 0.250 0.250 0.250
Mg1 0.750 0.750 0.750
Nb1 0.500 0.500 0.500
Pt1 0.000 0.000 0.000

Properties
Crystal system: cubic
Total moment, Bohr magnetons per cell: 3.7
Space group: F-43m, No. 216
Energy above the most stable polymorph in this dataset, meV/atom: 385



No. 4
Below is a relaxed structure of Mg2NbSb3Pt3, with properties calculated at the PBE level.

Lattice parameters (Å, degrees): 7.724 7.725 7.725 119.95 99.61 99.61
Fractional positions:
Mg1 0.499 0.331 0.164
Mg2 0.999 0.164 0.331
Mg3 0.500 0.000 0.502
Mg4 0.000 0.502 0.000
Sb1 0.253 0.575 0.406
Sb2 0.249 0.255 0.749
Sb3 0.749 0.749 0.255
Sb4 0.753 0.406 0.575
Sb5 0.748 0.094 0.919
Sb6 0.248 0.919 0.094
Nb1 0.500 0.668 0.834
Nb2 0.000 0.834 0.668
Pt1 0.122 0.197 0.030
Pt2 0.123 0.873 0.386
Pt3 0.632 0.710 0.557
Pt4 0.132 0.557 0.710
Pt5 0.623 0.386 0.873
Pt6 0.622 0.030 0.197

Properties
Crystal system: monoclinic
Total moment, Bohr magnetons per cell: 0.0
Space group: Cc, No. 9
Energy, eV per atom: -5.53



No. 5
Below is a relaxed structure of PuMgNb, with properties calculated at the PBE level.

Lattice parameters (Å, degrees): 4.521 4.521 4.521 60.00 60.00 60.00
Site moments in Bohr magnetons follow the coordinates.
Fractional positions:
Mg1 0.500 0.500 0.500  -0.01
Pu1 0.000 0.000 0.000  4.54
Nb1 0.250 0.250 0.250  -0.70

Properties
Crystal system: cubic
Total moment, Bohr magnetons per cell: 3.9
Space group: F-43m, No. 216
Energy above the most stable polymorph in this dataset, meV/atom: 0



No. 6
Below is a relaxed structure of PuMgNb, with properties calculated at the PBE level.

Lattice parameters (Å, degrees): 4.608 4.608 4.608 60.00 60.00 60.00
Site moments in Bohr magnetons follow the coordinates.
Fractional positions:
Pu1 0.000 0.000 0.000  5.54
Mg1 0.250 0.250 0.250  0.03
Nb1 0.750 0.750 0.750  0.73

Properties
Crystal system: cubic
Total moment, Bohr magnetons per cell: 6.7
Space group: F-43m, No. 216
Energy above the most stable polymorph in this dataset, meV/atom: 364